Entry from Alexandria via LeMat-Bulk: a relaxed structure of Nb2GaCo (PBE).

The structure in POSCAR format:
```
Nb2GaCo
1.0
-1.7431 2.0702 -0.4501
-2.7690 -1.4438 4.0826
3.9746 3.4981 0.6972
Nb Co Ga
2 1 1
Direct
0.0000 0.9695 0.9391
0.5000 0.2695 0.5390
0.5000 0.7308 0.4615
0.0000 0.5248 0.0497
```

ΔH_f (0 K) = 289 meV per atom
total DFT energy (no corrections) = -29.1 eV for the cell shown
calculated volume = 66.01 Å³ per cell
Fermi-level density of states = 3.86 states/eV/f.u.
size of the total moment = 0.155 μB per atom